# 1
The following is a meta-GGA SCAN calculation of a PBEsol-optimized structure of GePbSN2, from the Alexandria database.

Lattice parameters (Å, degrees): 3.9135 3.9135 4.8990 90.00 90.00 90.00
Last column: nearest neighbours and their distance in Å.
Positions (direct):
Ge (0.0000, 0.0000, 0.0000)  4 N 1.96
N (0.5000, 0.0000, 0.0000)  2 Ge 1.96
S (0.0000, 0.0000, 0.5000)  2 Ge 2.45
N (0.0000, 0.5000, 0.0000)  2 Ge 1.96
Pb (0.5000, 0.5000, 0.5000)  4 S 2.77

Values from the calculation:
E_form (uncorrected) (kJ/mol of formula units): 405.9
V (Å³/f.u.): 75
Space group: P4/mmm
D(E_F) (states/eV/atom): 0.482
Total magnetic moment (Bohr magnetons per cell): 1.96

# 2
The following is a meta-GGA SCAN calculation of a PBEsol-optimized structure of SrMg2NbTl, from the Alexandria database.

Lattice parameters (Å, degrees): 5.3495 5.3495 5.3990 90.00 90.00 90.00
Last column: nearest neighbours and their distance in Å.
Positions (direct):
Mg (0.5000, 0.0000, 0.0000)  2 Nb 2.67
Nb (0.0000, 0.0000, 0.0000)  4 Mg 2.67, 2 Tl 2.70
Tl (0.0000, 0.0000, 0.5000)  2 Nb 2.70
Mg (0.0000, 0.5000, 0.0000)  2 Nb 2.67
Sr (0.5000, 0.5000, 0.5000)  4 Tl 3.78, 8 Mg 3.80

Values from the calculation:
Calculated formation energy (eV/atom): 0.4001
V (Å³/f.u.): 155
Space group: P4/mmm
D(E_F) (states/eV/atom): 0.699
Total magnetic moment (Bohr magnetons per cell): 1.84

# 3
The following is a meta-GGA SCAN calculation of a PBEsol-optimized structure of TcSbOs2, from the Alexandria database.

Lattice parameters (Å, degrees): 2.8348 4.0971 5.4770 90.00 101.51 90.00
Last column: nearest neighbours and their distance in Å.
Positions (direct):
Sb (0.5000, 0.5000, 0.0000)  4 Os 2.63, 2 Tc 2.74, 2 Sb 2.83
Tc (0.5000, 0.5000, 0.5000)  2 Sb 2.74, 8 Os 2.78-2.81, 2 Tc 2.83
Os (0.8991, 0.0000, 0.2640)  3 Os 2.53-2.83, 2 Sb 2.63, 4 Tc 2.78-2.81
Os (0.1009, 0.0000, 0.7360)  3 Os 2.53-2.83, 2 Sb 2.63, 4 Tc 2.78-2.81

Values from the calculation:
E_form (uncorrected) (kJ/mol of formula units): 205.4
V (Å³/f.u.): 62
Space group: P2/m
D(E_F) (states/eV/atom): 0.683
Total magnetic moment (Bohr magnetons per cell): 0.00

# 4
The following is a meta-GGA SCAN calculation of a PBEsol-optimized structure of NiAu3Br, from the Alexandria database.

Lattice parameters (Å, degrees): 4.7066 4.7066 4.7066 90.00 90.00 90.00
Last column: nearest neighbours and their distance in Å.
Positions (direct):
Au (0.0000, 0.0000, 0.5000)  2 Ni 2.35
Br (0.5000, 0.5000, 0.5000)  12 Au 3.33
Au (0.0000, 0.5000, 0.0000)  2 Ni 2.35
Ni (0.0000, 0.0000, 0.0000)  6 Au 2.35
Au (0.5000, 0.0000, 0.0000)  2 Ni 2.35

Values from the calculation:
E_form (uncorrected) (kJ/mol of formula units): 369.8
V (Å³/f.u.): 104
Space group: Pm-3m
D(E_F) (states/eV/atom): 0.987
Total magnetic moment (Bohr magnetons per cell): 0.35

# 5
The following is a meta-GGA SCAN calculation of a PBEsol-optimized structure of KMn2Ir, from the Alexandria database.

Lattice parameters (Å, degrees): 2.7410 4.2958 7.2195 95.08 90.00 108.60
Last column: nearest neighbours and their distance in Å.
Positions (direct):
K (0.7542, 0.5083, 0.2660)  2 K 2.74
Ir (0.5173, 0.0346, 0.6107)  5 Mn 2.36-2.55
Mn (0.9748, 0.9497, 0.9005)  5 Mn 2.52-2.74, 2 Ir 2.55
Mn (0.2537, 0.5074, 0.7228)  3 Ir 2.36-2.44, 2 Mn 2.52

Values from the calculation:
Calculated formation energy (eV/atom): 0.3776
V (Å³/f.u.): 80
Space group: Cm
D(E_F) (states/eV/atom): 0.914
Total magnetic moment (Bohr magnetons per cell): 7.37

# 6
The following is a meta-GGA SCAN calculation of a PBEsol-optimized structure of SbP3Se, from the Alexandria database.

Lattice parameters (Å, degrees): 4.9511 4.9511 4.9511 90.00 90.00 90.00
Last column: nearest neighbours and their distance in Å.
Positions (direct):
P (0.5000, 0.0000, 0.0000)  2 Sb 2.48
Sb (0.0000, 0.0000, 0.0000)  6 P 2.48
P (0.0000, 0.0000, 0.5000)  2 Sb 2.48
P (0.0000, 0.5000, 0.0000)  2 Sb 2.48
Se (0.5000, 0.5000, 0.5000)  12 P 3.50

Values from the calculation:
E_form (uncorrected) (kJ/mol of formula units): 731.5
V (Å³/f.u.): 121
Space group: Pm-3m
D(E_F) (states/eV/atom): 0.946
Total magnetic moment (Bohr magnetons per cell): 0.00

# 7
The following is a meta-GGA SCAN calculation of a PBEsol-optimized structure of CuTe2Pb, from the Alexandria database.

Lattice parameters (Å, degrees): 3.8079 5.8489 5.8489 60.32 71.00 71.00
Last column: nearest neighbours and their distance in Å.
Positions (direct):
Te (0.8206, 0.1794, 0.1794)  2 Cu 2.54
Pb (0.0000, 0.5000, 0.5000)  8 Te 3.39-3.56, 4 Cu 3.50
Te (0.1794, 0.8206, 0.8206)  2 Cu 2.54
Cu (0.5000, 0.0000, 0.0000)  4 Te 2.54

Values from the calculation:
E_form (uncorrected) (kJ/mol of formula units): -4.2
V (Å³/f.u.): 105
Space group: Immm
D(E_F) (states/eV/atom): 0.262
Total magnetic moment (Bohr magnetons per cell): 0.00

# 8
The following is a meta-GGA SCAN calculation of a PBEsol-optimized structure of Tl3Cd, from the Alexandria database.

Lattice parameters (Å, degrees): 3.4218 3.4218 8.9826 90.00 90.00 90.00
Last column: nearest neighbours and their distance in Å.
Positions (direct):
Tl (0.5000, 0.5000, 0.2302)  4 Cd 3.18, 8 Tl 3.42
Tl (0.5000, 0.5000, 0.7698)  4 Cd 3.18, 8 Tl 3.42
Tl (0.0000, 0.0000, 0.5000)  12 Tl 3.42
Cd (0.0000, 0.0000, 0.0000)  8 Tl 3.18, 4 Cd 3.42

Values from the calculation:
Calculated formation energy (eV/atom): 0.0461
V (Å³/f.u.): 105
Space group: P4/mmm
D(E_F) (states/eV/atom): 0.553
Total magnetic moment (Bohr magnetons per cell): 0.00